Density functional theory data (GGA-PBE) for crystalline Ba3SrCd2 at its relaxed geometry.

Computed properties:
D(E_F): 6.33 states/eV per cell
M_tot: 0.00 μB per cell
E_tot: -1.768 eV per atom
ΔE_f: -1.327 eV per formula unit

Cell lengths 4.273, 4.273, 14.933 Å; angles 90.00, 90.00, 90.00 degrees
Atoms (fractional coordinates):
Ba1 0.000 0.000 0.282
Cd1 0.500 0.500 0.853
Sr1 0.500 0.500 0.500
Ba2 0.000 0.000 0.000
Cd2 0.500 0.500 0.147
Ba3 0.000 0.000 0.718

---

Density functional theory data (GGA-PBE) for crystalline BaSr2Cd at its relaxed geometry.

Computed properties:
D(E_F): 6.14 states/eV per cell
M_tot: 0.00 μB per cell
E_tot: -1.568 eV per atom
ΔE_f: -0.072 eV per formula unit

Cell lengths 6.995, 6.995, 6.995 Å; angles 132.98, 132.98, 68.69 degrees
Atoms (fractional coordinates):
Sr1 0.250 0.750 0.500
Cd1 0.750 0.250 0.500
Ba1 0.500 0.500 0.000
Sr2 0.000 0.000 0.000

---

Density functional theory data (GGA-PBE) for crystalline Ba5SrCd at its relaxed geometry.

Computed properties:
D(E_F): 23.16 states/eV per cell
M_tot: 0.00 μB per cell
E_tot: -1.604 eV per atom
ΔE_f: 0.985 eV per formula unit

Cell lengths 8.735, 8.735, 13.613 Å; angles 65.78, 65.78, 71.81 degrees
Atoms (fractional coordinates):
Ba1 0.929 0.071 0.750
Ba2 0.149 0.384 0.249
Cd1 0.000 0.000 0.500
Ba3 0.753 0.455 0.517
Ba4 0.384 0.149 0.749
Sr1 0.329 0.671 0.750
Ba5 0.616 0.851 0.251
Ba6 0.851 0.616 0.751
Ba7 0.247 0.545 0.483
Ba8 0.455 0.753 0.017
Cd2 0.000 0.000 0.000
Ba9 0.071 0.929 0.250
Ba10 0.545 0.247 0.983
Sr2 0.671 0.329 0.250

---

Density functional theory data (GGA-PBE) for crystalline BaSr2Cd at its relaxed geometry.

Computed properties:
D(E_F): 12.55 states/eV per cell
M_tot: 0.00 μB per cell
E_tot: -1.557 eV per atom
ΔE_f: -0.026 eV per formula unit

Cell lengths 10.359, 10.359, 8.231 Å; angles 51.00, 51.00, 90.00 degrees
Atoms (fractional coordinates):
Ba1 0.000 0.000 0.000
Sr1 0.200 0.625 0.250
Sr2 0.875 0.800 0.750
Ba2 0.750 0.250 0.500
Sr3 0.375 0.450 0.750
Cd1 0.500 0.500 0.000
Sr4 0.550 0.125 0.250
Cd2 0.250 0.750 0.500

---

Density functional theory data (GGA-PBE) for crystalline BaSr3Cd2 at its relaxed geometry.

Computed properties:
D(E_F): 6.45 states/eV per cell
M_tot: 0.00 μB per cell
E_tot: -1.683 eV per atom
ΔE_f: -1.298 eV per formula unit

Cell lengths 4.128, 4.128, 14.650 Å; angles 90.00, 90.00, 90.00 degrees
Atoms (fractional coordinates):
Sr1 0.000 0.000 0.729
Cd1 0.500 0.500 0.140
Cd2 0.500 0.500 0.860
Ba1 0.500 0.500 0.500
Sr2 0.000 0.000 0.271
Sr3 0.000 0.000 0.000

---

Density functional theory data (GGA-PBE) for crystalline Ba3Sr7Cd4 at its relaxed geometry.

Computed properties:
D(E_F): 16.84 states/eV per cell
M_tot: 0.00 μB per cell
E_tot: -1.668 eV per atom
ΔE_f: -2.152 eV per formula unit

Cell lengths 4.325, 11.594, 13.740 Å; angles 72.62, 80.94, 79.25 degrees
Atoms (fractional coordinates):
Sr1 0.488 0.772 0.252
Ba1 0.701 0.787 0.810
Cd1 0.858 0.965 0.319
Cd2 0.637 0.443 0.284
Sr2 0.681 0.163 0.475
Sr3 0.319 0.837 0.525
Cd3 0.142 0.035 0.681
Sr4 0.160 0.592 0.089
Ba2 0.299 0.213 0.190
Sr5 0.840 0.408 0.911
Cd4 0.363 0.557 0.716
Ba3 0.000 0.500 0.500
Sr6 0.000 0.000 0.000
Sr7 0.512 0.228 0.748